Entry 1:
First-principles (GGA-PBE) data for YBeIrO2 after structural relaxation, as listed in Alexandria.

Values from the calculation:
Final energy   -5.88 eV/atom
Energy relative to the elements, uncorrected   -0.087 eV/atom
Space group   P4/mmm, No. 123

Cell: 3.6601 5.7180 3.6601 Å, 90.00 90.00 90.00°
Each line ends with the local moment (μB).
Fractional coordinates of all 5 atoms:
O (0.0000, 0.0000, 0.5000)  -0.05
Y (0.0000, 0.5000, 0.0000)  -0.04
Ir (0.5000, 0.5000, 0.5000)  0.64
O (0.5000, 0.0000, 0.0000)  -0.06
Be (0.0000, 0.0000, 0.0000)  0.00

=====

Entry 2:
First-principles (GGA-PBE) data for K4CrSe after structural relaxation, as listed in Alexandria.

Values from the calculation:
Final energy   -2.45 eV/atom
Energy relative to the elements, uncorrected   0.466 eV/atom
Space group   F-43m, No. 216

Cell: 7.0263 7.0263 7.0263 Å, 60.00 60.00 60.00°
Each line ends with the local moment (μB).
Fractional coordinates of all 6 atoms:
K (0.3764, 0.3764, 0.8707)  0.03
Se (0.7500, 0.7500, 0.7500)  0.08
K (0.3764, 0.8707, 0.3764)  0.03
Cr (0.0000, 0.0000, 0.0000)  4.29
K (0.8707, 0.3764, 0.3764)  0.03
K (0.3764, 0.3764, 0.3764)  0.03

=====

Entry 3:
First-principles (GGA-PBE) data for Tl5InI5 after structural relaxation, as listed in Alexandria.

Values from the calculation:
Final energy   -2.51 eV/atom
Energy relative to the elements, uncorrected   -0.477 eV/atom
Space group   C2/m, No. 12

Cell: 6.9486 8.4359 9.8240 Å, 106.89 90.00 114.32°
Fractional coordinates of all 11 atoms:
Tl (0.3430, 0.6859, 0.1871)
Tl (0.6515, 0.3030, 0.3477)
I (0.1761, 0.3522, 0.8353)
Tl (0.6570, 0.3141, 0.8129)
I (0.1661, 0.3322, 0.3337)
In (0.0000, 0.0000, 0.0000)
Tl (0.3485, 0.6970, 0.6523)
I (0.5000, 0.0000, 0.0000)
I (0.8339, 0.6678, 0.6663)
I (0.8239, 0.6478, 0.1647)
Tl (0.0000, 0.0000, 0.5000)

=====

Entry 4:
First-principles (GGA-PBE) data for Th4In3Te after structural relaxation, as listed in Alexandria.

Values from the calculation:
Final energy   -5.59 eV/atom
Energy relative to the elements, uncorrected   -0.457 eV/atom
Space group   P4/mmm, No. 123

Cell: 3.6232 3.6232 17.6181 Å, 90.00 90.00 90.00°
Fractional coordinates of all 8 atoms:
Te (0.5000, 0.5000, 0.0000)
In (0.5000, 0.5000, 0.2440)
Th (0.0000, 0.0000, 0.6283)
Th (0.0000, 0.0000, 0.8821)
In (0.5000, 0.5000, 0.7560)
In (0.5000, 0.5000, 0.5000)
Th (0.0000, 0.0000, 0.3717)
Th (0.0000, 0.0000, 0.1179)

=====

Entry 5:
First-principles (GGA-PBE) data for SiHg2Au2 after structural relaxation, as listed in Alexandria.

Values from the calculation:
Final energy   -2.28 eV/atom
Energy relative to the elements, uncorrected   0.241 eV/atom
Space group   P4/mbm, No. 127
Polymorph energy (0 for the lowest one)   0.195 eV/atom

Cell: 6.7831 6.7831 4.6452 Å, 90.00 90.00 90.00°
Fractional coordinates of all 10 atoms:
Au (0.8368, 0.6632, 0.0000)
Hg (0.1544, 0.6544, 0.5000)
Hg (0.6544, 0.8456, 0.5000)
Si (0.5000, 0.5000, 0.0000)
Au (0.1632, 0.3368, 0.0000)
Au (0.3368, 0.8368, 0.0000)
Hg (0.3456, 0.1544, 0.5000)
Hg (0.8456, 0.3456, 0.5000)
Si (0.0000, 0.0000, 0.0000)
Au (0.6632, 0.1632, 0.0000)

=====

Entry 6:
First-principles (GGA-PBE) data for Er3Cu2Ag after structural relaxation, as listed in Alexandria.

Values from the calculation:
Final energy   -4.42 eV/atom
Space group   P4/mmm, No. 123
Energy of formation from the pure elements   -28.5 kJ/mol of atoms

Cell: 3.4750 3.4750 10.5896 Å, 90.00 90.00 90.00°
Fractional coordinates of all 6 atoms:
Er (0.0000, 0.0000, 0.6788)
Cu (0.5000, 0.5000, 0.1618)
Cu (0.5000, 0.5000, 0.8382)
Er (0.0000, 0.0000, 0.0000)
Ag (0.5000, 0.5000, 0.5000)
Er (0.0000, 0.0000, 0.3212)

=====

Entry 7:
First-principles (GGA-PBE) data for TlCoBi2 after structural relaxation, as listed in Alexandria.

Values from the calculation:
Final energy   -3.75 eV/atom
Space group   Fm-3m, No. 225
Energy of formation from the pure elements   54.2 kJ/mol of atoms
Polymorph energy (0 for the lowest one)   0.355 eV/atom

Cell: 5.1809 5.1809 5.1809 Å, 60.00 60.00 60.00°
Fractional coordinates of all 4 atoms:
Co (0.0000, 0.0000, 0.0000)
Bi (0.7500, 0.7500, 0.7500)
Bi (0.2500, 0.2500, 0.2500)
Tl (0.5000, 0.5000, 0.5000)

=====

Entry 8:
First-principles (GGA-PBE) data for InHgWI2 after structural relaxation, as listed in Alexandria.

Values from the calculation:
Final energy   -3.27 eV/atom
Energy relative to the elements, uncorrected   0.552 eV/atom
Space group   P4/mmm, No. 123

Cell: 5.4688 5.5970 5.4688 Å, 90.00 90.00 90.00°
Each line ends with the local moment (μB).
Fractional coordinates of all 5 atoms:
I (0.0000, 0.0000, 0.5000)  0.04
In (0.0000, 0.5000, 0.0000)  -0.01
W (0.0000, 0.0000, 0.0000)  0.81
I (0.5000, 0.0000, 0.0000)  0.04
Hg (0.5000, 0.5000, 0.5000)  0.00